# 1
## In2HPd3 (PBE)

Data for an optimized crystal structure of In2HPd3.

energy above the most stable polymorph in this dataset = 0.00 eV/f.u.
total moment = 0.00 Bohr magnetons per cell

abc: 7.0746 7.9818 13.5808
angles: 90.00 90.00 90.00
Last column: nearest neighbours and their distance in Å.
Space group Fmmm (No. 69)
Symmetry-distinct sites (fractional):
1 In 0.2074 0.0000 0.0000  6 Pd 2.87-2.93, 1 In 2.93, 2 H 3.19
2 In 0.2500 0.2500 0.2500  8 Pd 2.75-2.80, 4 H 2.84
3 H 0.0000 0.0000 0.3217  3 Pd 1.79-1.83
4 Pd 0.0000 0.0000 0.1869  1 H 1.83
5 Pd 0.0000 0.1809 0.3999  1 H 1.79


# 2
## LiLaAgSn2 (PBE)

Data for an optimized crystal structure of LiLaAgSn2.

total moment = 0.00 Bohr magnetons per cell
calculated formation energy = -535 meV/atom

abc: 4.5113 4.5113 12.0459
angles: 90.00 90.00 90.00
Last column: nearest neighbours and their distance in Å.
Space group I-4m2 (No. 119)
Symmetry-distinct sites (fractional):
1 Li 0.0000 0.0000 0.0000  4 Sn 2.77
2 La 0.0000 0.5000 0.7500  8 Sn 3.49, 4 Li 3.76, 4 Ag 3.76
3 Ag 0.0000 0.0000 0.5000  4 Sn 2.77
4 Sn 0.0000 0.5000 0.1332  2 Ag 2.77, 2 Li 2.77, 1 Sn 2.81


# 3
## Tc2HgRh2 (PBE)

Data for an optimized crystal structure of Tc2HgRh2.

energy above the most stable polymorph in this dataset = 0.14 eV/f.u.
total moment = 0.00 Bohr magnetons per cell
calculated formation energy = 269 meV/atom

abc: 7.6778 7.6778 2.7305
angles: 90.00 90.00 90.00
Last column: nearest neighbours and their distance in Å.
Space group P4/mbm (No. 127)
Symmetry-distinct sites (fractional):
1 Tc 0.1712 0.3288 0.0000  6 Rh 2.63-2.66, 2 Tc 2.73
2 Hg 0.0000 0.0000 0.5000  2 Hg 2.73, 4 Rh 3.05
3 Rh 0.1219 0.6219 0.5000  6 Tc 2.63-2.66, 3 Rh 2.65-2.73


# 4
## La6DyHo12 (PBE)

Data for an optimized crystal structure of La6DyHo12.

energy above the most stable polymorph in this dataset = 0.00 eV/f.u.
total moment = 0.00 Bohr magnetons per cell
calculated formation energy = 133 meV/atom

abc: 11.1353 11.1353 17.7913
angles: 90.00 90.00 120.00
Last column: nearest neighbours and their distance in Å.
Space group R-3m (No. 166, hexagonal axes)
Symmetry-distinct sites (fractional):
1 La 0.0682 0.5341 0.2676  1 Dy 3.12, 3 Ho 3.37-3.39
2 Dy 0.0000 0.0000 0.5000  6 La 3.12
3 Ho 0.1029 0.5515 0.9119  7 Ho 3.44-3.85, 5 La 3.60-3.69
4 Ho 0.1058 0.2115 0.9066  3 La 3.37-3.39, 5 Ho 3.44-3.53


# 5
## GaAgPtPb2 (PBE)

Data for an optimized crystal structure of GaAgPtPb2.

energy above the most stable polymorph in this dataset = 0.35 eV/f.u.
total moment = 0.00 Bohr magnetons per cell
calculated formation energy = -94 meV/atom

abc: 4.0323 4.6226 13.0630
angles: 90.00 90.00 90.00
Last column: nearest neighbours and their distance in Å.
Space group Imm2 (No. 44)
Symmetry-distinct sites (fractional):
1 Ga 0.0000 0.0000 0.0000  2 Pt 2.54, 1 Ag 2.72
2 Ag 0.0000 0.0000 0.7915  1 Ga 2.72, 1 Pb 2.85, 2 Pt 2.86
3 Pt 0.0000 0.5000 0.9201  2 Ga 2.54
4 Pb 0.0000 0.0000 0.2582  2 Pt 2.92, 4 Ag 3.10
5 Pb 0.0000 0.0000 0.5734  2 Pt 2.84, 1 Ag 2.85


# 6
## Tl2BiTe2 (PBE)

Data for an optimized crystal structure of Tl2BiTe2.

uncorrected formation energy = -0.165 eV/atom
energy above the most stable polymorph in this dataset = 0.00 eV/f.u.
total moment = 0.00 Bohr magnetons per cell

abc: 11.0606 8.9946 7.9394
angles: 90.00 92.09 90.00
Last column: nearest neighbours and their distance in Å.
Space group P2_1/c (No. 14)
Symmetry-distinct sites (fractional):
1 Tl 0.0578 0.2270 0.0137  3 Te 3.30-3.41, 1 Bi 3.48
2 Tl 0.3276 0.7174 0.5064  5 Te 3.36-3.68
3 Bi 0.3350 0.1395 0.3863  4 Te 3.01-3.28
4 Te 0.1279 0.5684 0.7677  1 Bi 3.08, 5 Tl 3.30-3.45
5 Te 0.4312 0.0540 0.7325  3 Bi 3.01-3.28


# 7
## ScTe2AsI (PBE)

Data for an optimized crystal structure of ScTe2AsI.

uncorrected formation energy = 0.201 eV/atom
energy above the most stable polymorph in this dataset = 0.71 eV/f.u.
total moment = 0.28 Bohr magnetons per cell

abc: 5.5036 5.5036 5.3774
angles: 90.00 90.00 90.00
Last column: nearest neighbours and their distance in Å.
Space group P4/mmm (No. 123)
Symmetry-distinct sites (fractional):
1 Sc 0.0000 0.0000 0.0000  8 Te 3.85, 4 I 3.89
2 Te 0.0000 0.5000 0.5000  2 As 2.75
3 As 0.5000 0.5000 0.5000  2 I 2.69, 4 Te 2.75
4 I 0.5000 0.5000 0.0000  2 As 2.69


# 8
## LaSmBr5 (PBE)

Data for an optimized crystal structure of LaSmBr5.

uncorrected formation energy = -1.864 eV/atom
total moment = 1.89 Bohr magnetons per cell

abc: 8.2267 4.1471 13.6885
angles: 90.00 91.51 90.00
Last column: nearest neighbours and their distance in Å.
Space group P2_1/m (No. 11)
Symmetry-distinct sites (fractional):
1 La 0.0865 0.2500 0.1577  7 Br 3.04-3.17
2 Sm 0.4214 0.7500 0.3452  7 Br 2.92-3.11
3 Br 0.0589 0.7500 0.3192  1 Sm 2.99, 2 La 3.04
4 Br 0.1479 0.2500 0.9298  3 La 3.05-3.17
5 Br 0.3166 0.2500 0.4864  3 Sm 2.98-3.11
6 Br 0.3518 0.7500 0.1294  1 Sm 2.99, 2 La 3.04
7 Br 0.3531 0.7500 0.7165  2 Sm 2.92


# 9
## Nd6TeAs2S3 (PBE)

Data for an optimized crystal structure of Nd6TeAs2S3.

uncorrected formation energy = -1.765 eV/atom
total moment = 0.00 Bohr magnetons per cell

abc: 18.3419 4.2020 8.4583
angles: 90.00 102.89 90.00
Last column: nearest neighbours and their distance in Å.
Space group C2/m (No. 12)
Symmetry-distinct sites (fractional):
1 Nd 0.9997 0.0000 0.2230  3 S 2.82-2.94, 1 As 2.98, 2 Te 3.15
2 Nd 0.1665 0.5000 0.0839  3 S 2.98-2.99, 3 As 2.98-2.99
3 Nd 0.1761 0.5000 0.5897  3 S 2.86-2.99, 2 As 2.97, 1 Te 3.15
4 Te 0.0000 0.5000 0.5000  6 Nd 3.15
5 As 0.1666 0.0000 0.8326  6 Nd 2.97-2.99
6 S 0.0000 0.5000 0.0000  6 Nd 2.82-2.98
7 S 0.1637 0.0000 0.3335  6 Nd 2.86-2.99


# 10
## ZnCd2Cu3 (PBE)

Data for an optimized crystal structure of ZnCd2Cu3.

total moment = 0.00 Bohr magnetons per cell
calculated formation energy = -46 meV/atom

abc: 8.6904 5.1029 5.0263
angles: 90.00 124.25 90.00
Last column: nearest neighbours and their distance in Å.
Space group C2/m (No. 12)
Symmetry-distinct sites (fractional):
1 Zn 0.0000 0.0000 0.0000  6 Cu 2.51-2.52
2 Cd 0.1237 0.5000 0.3762  9 Cu 2.96-2.97, 3 Zn 2.99-3.00, 4 Cd 3.03-3.13
3 Cu 0.0000 0.0000 0.5000  2 Zn 2.51, 4 Cu 2.55
4 Cu 0.2500 0.2500 0.0000  2 Zn 2.52, 4 Cu 2.55


# 11
## Mg3Pd2Pb (PBE)

Data for an optimized crystal structure of Mg3Pd2Pb.

total moment = 0.00 Bohr magnetons per cell
calculated formation energy = -507 meV/atom

abc: 3.2459 3.2459 11.0353
angles: 90.00 90.00 90.00
Last column: nearest neighbours and their distance in Å.
Space group P4/mmm (No. 123)
Symmetry-distinct sites (fractional):
1 Mg 0.0000 0.0000 0.0000  8 Pd 2.80, 2 Mg 3.11
2 Mg 0.0000 0.0000 0.2822  4 Pd 2.74
3 Pd 0.5000 0.5000 0.1458  8 Mg 2.74-2.80
4 Pb 0.5000 0.5000 0.5000  4 Pb 3.25, 8 Mg 3.32